[1]
## Tb3HoSc2 (PBE)

Data for Tb3HoSc2 after structural relaxation. Values from VASP.

The structure in Quantum ESPRESSO input format:
```
&SYSTEM
  ibrav = 0, nat = 12, ntyp = 3
/
ATOMIC_SPECIES
Tb 158.93 Tb.upf
Ho 164.93 Ho.upf
Sc 44.96 Sc.upf
ATOMIC_POSITIONS angstrom
Tb -1.7165 1.4585 0.7630
Tb -7.1581 3.2018 13.8327
Tb -1.7059 1.1792 4.1998
Tb -1.1554 0.7595 10.1175
Ho -4.2085 2.2138 9.0466
Sc -1.4944 2.6820 7.1423
Sc -4.3887 3.6572 12.1642
Ho -4.6661 2.4466 5.5492
Tb -7.1687 3.4811 10.3959
Sc -7.3802 1.9783 7.4535
Sc -4.4859 1.0032 2.4315
Tb -7.7192 3.9008 4.4783
CELL_PARAMETERS angstrom
-0.3884 3.3701 0.2751
-8.5503 0.5907 1.7474
0.0641 0.6996 12.5732
```

Summary:
The formation energy comes out at 0.135 eV/atom. The space-group type is C2/m, No. 12. The size of the total moment is 0.00 μB/cell.

=====

[2]
## Tb6Ho3Sc2 (PBE)

Data for Tb6Ho3Sc2 after structural relaxation. Values from VASP.

The structure in Quantum ESPRESSO input format:
```
&SYSTEM
  ibrav = 0, nat = 11, ntyp = 3
/
ATOMIC_SPECIES
Ho 164.93 Ho.upf
Tb 158.93 Tb.upf
Sc 44.96 Sc.upf
ATOMIC_POSITIONS angstrom
Ho 5.3060 -3.2920 -1.0263
Tb 1.9573 -3.2959 -2.1252
Sc 12.2237 -7.5840 -2.3643
Tb 9.7131 -7.8452 -0.2439
Ho 6.3644 -7.8490 -1.3428
Tb 2.5317 -3.3896 1.1451
Tb 3.4972 -6.0701 -0.7882
Ho 0.0000 0.0000 0.0000
Tb 8.1732 -5.0710 -1.5809
Tb 9.1387 -7.7514 -3.5142
Sc -0.5533 -3.5570 -0.0048
CELL_PARAMETERS angstrom
-1.1421 -2.9290 3.4906
-2.2909 -2.7416 -3.0501
15.1035 -5.4705 -2.8095
```

Summary:
The formation energy comes out at 0.306 eV/atom. The space-group type is I4/mmm, No. 139. The size of the total moment is 0.00 μB/cell.

=====

[3]
## Tb7Ho3Sc (PBE)

Data for Tb7Ho3Sc after structural relaxation. Values from VASP.

The structure in Quantum ESPRESSO input format:
```
&SYSTEM
  ibrav = 0, nat = 11, ntyp = 3
/
ATOMIC_SPECIES
Tb 158.93 Tb.upf
Ho 164.93 Ho.upf
Sc 44.96 Sc.upf
ATOMIC_POSITIONS angstrom
Tb 2.7661 -6.8435 3.8668
Tb -3.4043 -3.0867 1.0570
Tb -0.5008 -7.8066 3.8645
Ho -0.3718 1.2752 2.5242
Tb 3.0108 -3.0417 1.9792
Tb 0.0527 -6.2403 -0.0623
Tb -0.1374 -2.1235 1.0593
Ho -3.2103 -6.2631 -0.5314
Ho 3.3158 -6.2174 0.4068
Sc -0.3191 -4.9651 2.4619
Tb -3.6490 -6.8885 2.9446
CELL_PARAMETERS angstrom
-0.7436 2.5504 5.0483
-5.4697 -6.2790 -0.8562
5.5752 -6.2015 0.7316
```

Summary:
The formation energy comes out at 0.257 eV/atom. The space-group type is C2/m, No. 12. The size of the total moment is 0.38 μB/cell.

=====

[4]
## Tb2Ho2Sc5 (PBE)

Data for Tb2Ho2Sc5 after structural relaxation. Values from VASP.

The structure in Quantum ESPRESSO input format:
```
&SYSTEM
  ibrav = 0, nat = 18, ntyp = 3
/
ATOMIC_SPECIES
Ho 164.93 Ho.upf
Tb 158.93 Tb.upf
Sc 44.96 Sc.upf
ATOMIC_POSITIONS angstrom
Ho 3.2520 7.0341 2.9004
Ho 0.0000 0.4490 0.0000
Tb 3.1016 -0.2316 4.5831
Sc 6.6949 2.9854 1.1470
Sc -1.5919 2.9854 4.6539
Sc 3.6366 2.9571 1.4568
Sc 5.7353 8.2418 1.1470
Sc 0.5068 8.2136 1.4568
Tb 3.1016 -0.2316 1.2177
Tb 1.0418 5.0248 4.5831
Sc -1.9004 5.6529 2.9004
Sc 3.6366 2.9571 4.3440
Ho 4.1434 5.7054 0.0000
Ho 0.8914 1.7777 2.9004
Sc -2.5515 -2.2710 4.6539
Tb 1.0418 5.0248 1.2177
Sc 0.5068 -2.2993 4.3440
Sc 6.0437 0.3965 2.9004
CELL_PARAMETERS angstrom
8.2868 0.0000 0.0000
0.0000 10.5128 0.0000
-4.1434 -5.2564 5.8009
```

Summary:
The formation energy comes out at 0.194 eV/atom. The space-group type is Ima2, No. 46. The size of the total moment is 0.01 μB/cell.

=====

[5]
## TbHo2Sc5 (PBE)

Data for TbHo2Sc5 after structural relaxation. Values from VASP.

The structure in Quantum ESPRESSO input format:
```
&SYSTEM
  ibrav = 0, nat = 8, ntyp = 3
/
ATOMIC_SPECIES
Sc 44.96 Sc.upf
Ho 164.93 Ho.upf
Tb 158.93 Tb.upf
ATOMIC_POSITIONS angstrom
Sc 0.7229 -4.8780 2.3973
Ho -0.1687 -2.9738 -3.0602
Tb 2.4969 -6.8175 0.3237
Sc -1.9429 -1.0348 -0.9864
Ho -2.1114 -3.4786 1.2956
Sc -0.3374 -5.4171 -0.7782
Sc 0.8915 -2.4340 0.1156
Sc 2.6654 -4.3733 -1.9581
CELL_PARAMETERS angstrom
-5.6687 2.7994 -2.2038
3.5478 -3.8777 -4.1478
-0.3376 -4.8872 4.5639
```

Summary:
The formation energy comes out at 0.058 eV/atom. The space-group type is I4/mmm, No. 139. The size of the total moment is 0.00 μB/cell.

=====

[6]
## Tb5Ho5Sc2 (PBE)

Data for Tb5Ho5Sc2 after structural relaxation. Values from VASP.

The structure in Quantum ESPRESSO input format:
```
&SYSTEM
  ibrav = 0, nat = 12, ntyp = 3
/
ATOMIC_SPECIES
Ho 164.93 Ho.upf
Tb 158.93 Tb.upf
Sc 44.96 Sc.upf
ATOMIC_POSITIONS angstrom
Ho -0.9464 -3.6283 4.7672
Ho -7.0123 -4.4122 8.0813
Tb -6.9459 -3.9111 4.6221
Sc -4.0360 -4.5241 9.8906
Ho -3.1260 -0.9326 5.1237
Ho -4.8327 -7.1080 7.7248
Tb -6.0909 -0.8077 3.3133
Tb -1.0128 -4.1295 8.2264
Tb -3.9794 -4.0203 6.4242
Ho 0.0000 0.0000 0.0000
Tb -1.8679 -7.2329 9.5351
Sc -3.9227 -3.5165 2.9578
CELL_PARAMETERS angstrom
-2.2318 2.2210 3.8085
-6.9165 -3.4370 1.1571
1.1896 -6.8246 7.8829
```

Summary:
The formation energy comes out at 0.034 eV/atom. The space-group type is C2/m, No. 12. The size of the total moment is 0.00 μB/cell.

=====

[7]
## Tb8Ho3Sc3 (PBE)

Data for Tb8Ho3Sc3 after structural relaxation. Values from VASP.

The structure in Quantum ESPRESSO input format:
```
&SYSTEM
  ibrav = 0, nat = 14, ntyp = 3
/
ATOMIC_SPECIES
Sc 44.96 Sc.upf
Ho 164.93 Ho.upf
Tb 158.93 Tb.upf
ATOMIC_POSITIONS angstrom
Sc -7.9663 -1.9356 5.9074
Ho -11.7856 -2.1012 5.6648
Tb -6.2018 -2.8339 3.3177
Ho -4.1470 -1.7700 6.1500
Sc -11.2454 -0.4286 11.2625
Tb -9.9427 -4.3366 7.2894
Sc -4.6871 -3.4426 0.5523
Tb -2.7344 -2.1554 2.9627
Tb -13.1982 -1.7158 8.8520
Ho -1.8415 -1.9407 -0.5815
Tb -7.1305 -3.5620 8.6887
Tb -9.7307 -1.0374 8.4970
Tb -5.9899 0.4654 4.5254
Tb -8.8021 -0.3092 3.1261
CELL_PARAMETERS angstrom
-3.6829 -3.8814 -1.1630
-2.6929 -3.4953 7.3033
-9.5568 3.5055 5.6745
```

Summary:
The formation energy comes out at 0.122 eV/atom. The space-group type is C2/m, No. 12. The size of the total moment is 0.00 μB/cell.

=====

[8]
## Tb12Ho2Sc5 (PBE)

Data for Tb12Ho2Sc5 after structural relaxation. Values from VASP.

The structure in Quantum ESPRESSO input format:
```
&SYSTEM
  ibrav = 0, nat = 19, ntyp = 3
/
ATOMIC_SPECIES
Tb 158.93 Tb.upf
Sc 44.96 Sc.upf
Ho 164.93 Ho.upf
ATOMIC_POSITIONS angstrom
Tb -8.0148 -3.2423 4.3052
Tb -4.4771 -3.8590 -0.9971
Sc -2.6494 -1.6035 1.0585
Ho -2.1045 4.4418 1.4613
Tb -5.9459 -0.7588 0.0228
Tb -6.9187 1.4079 4.1615
Sc -6.4636 -1.2159 6.5132
Tb -4.8893 -4.1581 5.5977
Tb -3.8998 1.3683 2.3505
Tb -3.3810 0.7912 -1.1407
Tb -7.4960 -3.8193 0.8139
Ho -0.7319 1.5448 0.5082
Sc -2.3026 -2.4868 4.2427
Tb -4.7827 3.7497 -0.1674
Tb -6.5066 1.7070 -2.4333
Sc -8.7464 -0.8476 2.1059
Tb -6.6131 -6.2008 3.3319
Sc -4.9322 -1.2352 -3.3487
Tb -5.4499 -1.6923 3.1416
CELL_PARAMETERS angstrom
-2.8364 5.9866 1.9695
-3.9542 -3.4642 -7.2905
-4.6052 -4.9735 8.4855
```

Summary:
The formation energy comes out at 0.183 eV/atom. The space-group type is C2/m, No. 12. The size of the total moment is 0.00 μB/cell.